VASP calculation (PBE-GGA) on a relaxed structure of LiCuIr2.

```
data_LiCuIr2
_cell_length_a 2.7507
_cell_length_b 2.7507
_cell_length_c 7.1533
_cell_angle_alpha 90.00
_cell_angle_beta 90.00
_cell_angle_gamma 90.00
_space_group_name_H-M_alt 'P 4 m m'
_space_group_IT_number 99
loop_
_space_group_symop_operation_xyz
'x,y,z'
'-y,x,z'
'-x,-y,z'
'y,-x,z'
'-x,y,z'
'y,x,z'
'x,-y,z'
'-y,-x,z'
loop_
_atom_site_label
_atom_site_fract_x
_atom_site_fract_y
_atom_site_fract_z
Li1 0.0000 0.0000 0.0000
Cu1 0.5000 0.5000 0.2379
Ir1 0.0000 0.0000 0.4899
Ir2 0.5000 0.5000 0.7422
```

Summary:
Energy of formation   0.010 eV/atom
Calculated density   13957 kg/m³
E_tot   -5.923 eV per atom